(1)
Below is a geometry-optimized PmMnCdC structure, with properties calculated at the GGA-PBE level.

a b c (Å): 3.7256 3.7256 10.5021
angles (deg): 90.00 90.00 90.00
With the nearest neighbours (Å) after each atom.
Space group P4/nmm (No. 129, origin choice 2)
Symmetry-distinct sites (fractional):
1 Pm 0.2500 0.2500 0.2148 (multiplicity 2)  4 Mn 2.93, 5 C 3.00-3.04
2 Mn 0.2500 0.7500 0.0000 (multiplicity 2)  4 C 2.01
3 Cd 0.2500 0.7500 0.5000 (multiplicity 2)  4 Cd 2.63
4 C 0.2500 0.2500 0.9291 (multiplicity 2)  4 Mn 2.01

M_tot ... 1.387 μB per cell
DFT formation energy ... 0.01 eV per atom
Calculated volume ... 72.9 Å³/f.u.
Final energy ... -48.076 eV/cell

=====

(2)
Below is a geometry-optimized Tb2Tm3ScSe6 structure, with properties calculated at the GGA-PBE level.

a b c (Å): 17.5250 4.0124 8.0778
angles (deg): 90.00 103.46 90.00
With the nearest neighbours (Å) after each atom.
Space group C2/m (No. 12)
Symmetry-distinct sites (fractional):
1 Tb 0.1673 0.0000 0.3340 (multiplicity 4)  6 Se 2.87-2.90
2 Tm 0.0000 0.5000 0.5000 (multiplicity 2)  6 Se 2.80-2.88
3 Tm 0.1702 0.0000 0.8352 (multiplicity 4)  6 Se 2.82-2.85
4 Sc 0.0000 0.5000 0.0000 (multiplicity 2)  6 Se 2.77-2.81
5 Se 0.0029 0.0000 0.7572 (multiplicity 4)  2 Sc 2.81, 3 Tm 2.85-2.88, 1 Tb 2.90
6 Se 0.1624 0.5000 0.0762 (multiplicity 4)  1 Sc 2.77, 3 Tm 2.82-2.85, 2 Tb 2.88
7 Se 0.1643 0.5000 0.5876 (multiplicity 4)  3 Tm 2.80-2.82, 3 Tb 2.87-2.88

M_tot ... 0.000 μB per cell
Formation energy (no corrections) ... -38.8 kcal/mol of atoms
Calculated volume ... 276.2 Å³/f.u.
Final energy ... -140.181 eV/cell

=====

(3)
Below is a geometry-optimized RbLaAl3 structure, with properties calculated at the GGA-PBE level.

a b c (Å): 5.4711 5.4711 5.4711
angles (deg): 90.00 90.00 90.00
With the nearest neighbours (Å) after each atom.
Space group Pm-3m (No. 221)
Symmetry-distinct sites (fractional):
1 Rb 0.0000 0.0000 0.0000 (multiplicity 1)  6 Al 2.74
2 La 0.5000 0.5000 0.5000 (multiplicity 1)  12 Al 3.87
3 Al 0.0000 0.0000 0.5000 (multiplicity 3)  2 Rb 2.74

M_tot ... 0.000 μB per cell
DFT formation energy ... 1.18 eV per atom
Calculated volume ... 163.8 Å³/f.u.
Final energy ... -11.224 eV/cell
Polymorph energy (0 for the lowest one) ... 9.34 kcal/mol of atoms

=====

(4)
Below is a geometry-optimized K2YCl5 structure, with properties calculated at the GGA-PBE level.

a b c (Å): 12.9470 8.6288 8.0825
angles (deg): 90.00 90.00 90.00
With the nearest neighbours (Å) after each atom.
Space group Pnma (No. 62)
Symmetry-distinct sites (fractional):
1 K 0.1717 0.0040 0.0545 (multiplicity 8)  8 Cl 3.18-3.45
2 Y 0.0047 0.2500 0.5730 (multiplicity 4)  7 Cl 2.69-2.79
3 Cl 0.0120 0.2500 0.9099 (multiplicity 4)  1 Y 2.72
4 Cl 0.0720 0.5432 0.6618 (multiplicity 8)  2 Y 2.77-2.79
5 Cl 0.1758 0.2500 0.3846 (multiplicity 4)  1 Y 2.69
6 Cl 0.1966 0.7500 0.3447 (multiplicity 4)  1 Y 2.69

M_tot ... 0.000 μB per cell
Formation energy (no corrections) ... -49.8 kcal/mol of atoms
Calculated volume ... 225.7 Å³/f.u.
Final energy ... -140.705 eV/cell
Polymorph energy (0 for the lowest one) ... 0.00 kcal/mol of atoms

=====

(5)
Below is a geometry-optimized In2HgW structure, with properties calculated at the GGA-PBE level.

a b c (Å): 4.1749 4.1937 9.2097
angles (deg): 90.00 90.00 90.00
With the nearest neighbours (Å) after each atom.
Space group Immm (No. 71)
Symmetry-distinct sites (fractional):
1 In 0.0000 0.0000 0.2499 (multiplicity 4)  4 In 2.96, 4 W 3.11, 4 Hg 3.11
2 Hg 0.0000 0.5000 0.0000 (multiplicity 2)  4 W 2.96, 8 In 3.11
3 W 0.0000 0.5000 0.5000 (multiplicity 2)  4 Hg 2.96, 8 In 3.11

M_tot ... 0.000 μB per cell
DFT formation energy ... 0.60 eV per atom
Calculated volume ... 80.6 Å³/f.u.
Final energy ... -32.651 eV/cell

=====

(6)
Below is a geometry-optimized TiCl3 structure, with properties calculated at the GGA-PBE level.

a b c (Å): 6.0836 6.0836 19.6291
angles (deg): 90.00 90.00 120.00
With the nearest neighbours (Å) after each atom.
Space group R-3 (No. 148, hexagonal axes)
Symmetry-distinct sites (fractional):
1 Ti 0.0000 0.0000 0.1667 (multiplicity 6)  6 Cl 2.43
2 Cl 0.0000 0.3502 0.4283 (multiplicity 18)  2 Ti 2.43

M_tot ... 6.000 μB per cell
Formation energy (no corrections) ... -36.5 kcal/mol of atoms
Calculated volume ... 104.9 Å³/f.u.
Final energy ... -118.626 eV/cell

=====

(7)
Below is a geometry-optimized SmHo8Th2 structure, with properties calculated at the GGA-PBE level.

a b c (Å): 18.9471 7.0018 5.5474
angles (deg): 90.00 92.14 90.00
With the nearest neighbours (Å) after each atom.
Space group C2/m (No. 12)
Symmetry-distinct sites (fractional):
1 Sm 0.0000 0.0000 0.0000 (multiplicity 2)  10 Ho 3.49-3.84
2 Ho 0.0470 0.5000 0.2387 (multiplicity 4)  2 Ho 3.13-3.46, 1 Th 3.23
3 Ho 0.1319 0.2697 0.7376 (multiplicity 8)  4 Ho 3.22-3.54, 2 Th 3.42-3.54, 1 Sm 3.49
4 Ho 0.1826 0.0000 0.2333 (multiplicity 4)  4 Th 3.33-3.57, 4 Ho 3.44-3.54, 1 Sm 3.65
5 Th 0.2176 0.5000 0.2606 (multiplicity 4)  9 Ho 3.23-3.57

M_tot ... 0.000 μB per cell
DFT formation energy ... 0.19 eV per atom
Calculated volume ... 367.7 Å³/f.u.
Final energy ... -108.236 eV/cell
Polymorph energy (0 for the lowest one) ... 0.00 kcal/mol of atoms

=====

(8)
Below is a geometry-optimized TiAlNF2 structure, with properties calculated at the GGA-PBE level.

a b c (Å): 3.6311 3.6311 4.0116
angles (deg): 90.00 90.00 90.00
With the nearest neighbours (Å) after each atom.
Space group P4/mmm (No. 123)
Symmetry-distinct sites (fractional):
1 Ti 0.0000 0.0000 0.0000 (multiplicity 1)  4 N 2.57, 8 F 2.71
2 Al 0.5000 0.5000 0.5000 (multiplicity 1)  4 F 1.82, 2 N 2.01
3 N 0.5000 0.5000 0.0000 (multiplicity 1)  2 Al 2.01
4 F 0.0000 0.5000 0.5000 (multiplicity 2)  2 Al 1.82

M_tot ... 1.996 μB per cell
Formation energy (no corrections) ... -36.3 kcal/mol of atoms
Calculated volume ... 52.9 Å³/f.u.
Final energy ... -31.572 eV/cell
Polymorph energy (0 for the lowest one) ... 0.00 kcal/mol of atoms

=====

(9)
Below is a geometry-optimized Sm4SbI5 structure, with properties calculated at the GGA-PBE level.

a b c (Å): 19.4231 4.3563 9.1026
angles (deg): 90.00 102.00 90.00
With the nearest neighbours (Å) after each atom.
Space group C2/m (No. 12)
Symmetry-distinct sites (fractional):
1 Sm 0.0004 0.0000 0.2252 (multiplicity 4)  2 Sb 2.99, 4 I 3.18-3.32
2 Sm 0.1550 0.5000 0.0728 (multiplicity 4)  1 Sb 2.94, 4 I 3.17-3.21
3 Sb 0.0000 0.5000 0.0000 (multiplicity 2)  6 Sm 2.94-2.99
4 I 0.0000 0.5000 0.5000 (multiplicity 2)  4 Sm 3.32
5 I 0.1672 0.0000 0.3304 (multiplicity 4)  3 Sm 3.17-3.18
6 I 0.1713 0.0000 0.8224 (multiplicity 4)  4 Sm 3.21-3.31

M_tot ... 0.000 μB per cell
Formation energy (no corrections) ... -27.7 kcal/mol of atoms
Calculated volume ... 376.7 Å³/f.u.
Final energy ... -85.542 eV/cell

=====

(10)
Below is a geometry-optimized CaInTc structure, with properties calculated at the GGA-PBE level.

a b c (Å): 6.9457 6.9457 6.9457
angles (deg): 90.00 90.00 90.00
With the nearest neighbours (Å) after each atom.
Space group F-43m (No. 216)
Symmetry-distinct sites (fractional):
1 Ca 0.0000 0.0000 0.0000 (multiplicity 4)  4 Tc 3.01, 4 In 3.01
2 In 0.2500 0.2500 0.7500 (multiplicity 4)  4 Ca 3.01
3 Tc 0.2500 0.2500 0.2500 (multiplicity 4)  4 Ca 3.01

M_tot ... 10.435 μB per cell
DFT formation energy ... 1.19 eV per atom
Calculated volume ... 83.8 Å³/f.u.
Final energy ... -46.198 eV/cell
Polymorph energy (0 for the lowest one) ... 21.25 kcal/mol of atoms

=====

(11)
Below is a geometry-optimized ZnAs2PbI structure, with properties calculated at the GGA-PBE level.

a b c (Å): 5.5342 5.5342 5.0803
angles (deg): 90.00 90.00 90.00
With the nearest neighbours (Å) after each atom.
Space group P4/mmm (No. 123)
Symmetry-distinct sites (fractional):
1 Zn 0.0000 0.0000 0.0000 (multiplicity 1)  2 I 2.54
2 As 0.0000 0.5000 0.5000 (multiplicity 2)  2 I 2.77
3 Pb 0.5000 0.5000 0.0000 (multiplicity 1)  8 As 3.76, 4 Zn 3.91
4 I 0.0000 0.0000 0.5000 (multiplicity 1)  2 Zn 2.54, 4 As 2.77

M_tot ... 0.000 μB per cell
Formation energy (no corrections) ... 19.4 kcal/mol of atoms
Calculated volume ... 155.6 Å³/f.u.
Final energy ... -11.631 eV/cell

=====

(12)
Below is a geometry-optimized CrWSe structure, with properties calculated at the GGA-PBE level.

a b c (Å): 2.9948 4.0272 7.4285
angles (deg): 90.00 90.00 90.00
With the nearest neighbours (Å) after each atom.
Space group Imm2 (No. 44)
Symmetry-distinct sites (fractional):
1 Cr 0.0000 0.0000 0.0000 (multiplicity 2)  1 Se 2.41, 1 W 2.53
2 W 0.0000 0.0000 0.6595 (multiplicity 2)  5 Se 2.49-2.79, 5 Cr 2.53-2.78
3 Se 0.0000 0.0000 0.3239 (multiplicity 2)  1 Cr 2.41, 1 W 2.49

M_tot ... 0.000 μB per cell
Formation energy (no corrections) ... 12.3 kcal/mol of atoms
Calculated volume ... 44.8 Å³/f.u.
Final energy ... -48.924 eV/cell
Polymorph energy (0 for the lowest one) ... 3.51 kcal/mol of atoms